(1)
VASP calculation (GGA-PBE) on an optimized crystal structure of SrMg2Tc.

a b c (Å): 4.523 4.523 4.660
angles (deg): 90.00 90.00 90.00
Space group P4/mmm (No. 123)
Inequivalent atoms, fractional coordinates:
Sr: 0.000 0.000 0.000
Mg: 0.000 0.500 0.500
Tc: 0.500 0.500 0.000

Calculated values
ΔE_f (eV/atom): 0.591

(2)
VASP calculation (GGA-PBE) on an optimized crystal structure of CaAuI.

a b c (Å): 4.6995 4.6995 32.7130
angles (deg): 90.00 90.00 120.00
Space group R-3m (No. 166, hexagonal axes)
Inequivalent atoms, fractional coordinates:
Ca: 0.0000 0.0000 0.0562
Au: 0.0000 0.0000 0.3346
I: 0.0000 0.0000 0.2247

Calculated values
Formation energy without anion corrections (meV/atom): -1104

(3)
VASP calculation (GGA-PBE) on an optimized crystal structure of La6Pr2Sm3.

a b c (Å): 6.433 8.260 8.265
angles (deg): 107.32 96.99 104.95
Space group P-1 (No. 2)
Inequivalent atoms, fractional coordinates:
La: 0.047 0.182 0.411
La: 0.137 0.545 0.230
La: 0.320 0.274 0.864
Pr: 0.228 0.909 0.047
Sm: 0.409 0.637 0.681
Sm: 0.500 0.000 0.500

Calculated values
ΔE_f (eV/atom): 0.017

(4)
VASP calculation (GGA-PBE) on an optimized crystal structure of NaAl2Sn.

a b c (Å): 8.400 8.400 5.735
angles (deg): 90.00 90.00 90.00
Space group I-42d (No. 122)
Inequivalent atoms, fractional coordinates:
Na: 0.000 0.000 0.000
Al: 0.201 0.250 0.625
Sn: 0.000 0.000 0.500

Calculated values
ΔE_f (eV/atom): 0.246

(5)
VASP calculation (GGA-PBE) on an optimized crystal structure of Na2In9Pb.

a b c (Å): 4.816 4.816 13.994
angles (deg): 90.00 90.00 90.00
Space group P4/mmm (No. 123)
Inequivalent atoms, fractional coordinates:
Na: 0.000 0.000 0.162
In: 0.000 0.500 0.000
In: 0.000 0.500 0.326
In: 0.500 0.500 0.159
In: 0.500 0.500 0.500
Pb: 0.000 0.000 0.500

Calculated values
ΔE_f (eV/atom): -0.044

(6)
VASP calculation (GGA-PBE) on an optimized crystal structure of InRe2N.

a b c (Å): 6.154 6.154 6.154
angles (deg): 90.00 90.00 90.00
Space group Fm-3m (No. 225)
Inequivalent atoms, fractional coordinates:
In: 0.000 0.000 0.000
Re: 0.250 0.250 0.250
N: 0.000 0.000 0.500

Calculated values
Formation energy without anion corrections (meV/atom): 1828

(7)
VASP calculation (GGA-PBE) on an optimized crystal structure of Pa3Co4B4.

a b c (Å): 3.549 3.818 10.884
angles (deg): 83.58 81.29 87.07
Space group P-1 (No. 2)
Inequivalent atoms, fractional coordinates:
Pa: 0.000 0.000 0.000
Pa: 0.162 0.657 0.704
Co: 0.298 0.867 0.426
Co: 0.439 0.399 0.115
B: 0.214 0.344 0.496
B: 0.387 0.879 0.213

Calculated values
ΔE_f (eV/atom): -0.427

(8)
VASP calculation (GGA-PBE) on an optimized crystal structure of SrNb2AgS.

a b c (Å): 4.646 4.646 5.552
angles (deg): 90.00 90.00 90.00
Space group P4/mmm (No. 123)
Inequivalent atoms, fractional coordinates:
Sr: 0.000 0.000 0.000
Nb: 0.000 0.500 0.500
Ag: 0.500 0.500 0.000
S: 0.000 0.000 0.500

Calculated values
Formation energy without anion corrections (meV/atom): 146

(9)
VASP calculation (GGA-PBE) on an optimized crystal structure of Hg2PtW.

a b c (Å): 2.864 5.059 5.121
angles (deg): 90.00 90.00 90.00
Space group Pmmm (No. 47)
Inequivalent atoms, fractional coordinates:
Hg: 0.000 0.000 0.000
Hg: 0.500 0.000 0.500
Pt: 0.000 0.500 0.500
W: 0.500 0.500 0.000

Calculated values
ΔE_f (eV/atom): 0.579

(10)
VASP calculation (GGA-PBE) on an optimized crystal structure of RbLiIn2Cl4.

a b c (Å): 12.611 12.636 8.842
angles (deg): 90.00 134.41 90.00
Space group C2/c (No. 15)
Inequivalent atoms, fractional coordinates:
Rb: 0.000 0.000 0.000
Li: 0.250 0.250 0.000
In: 0.000 0.500 0.000
In: 0.250 0.250 0.500
Cl: 0.001 0.252 0.003
Cl: 0.246 0.443 0.996

Calculated values
Formation energy without anion corrections (meV/atom): -1262